A plane-wave DFT calculation with PBE with a Hubbard U was carried out for a relaxed Cs2PaMn2O6 crystal.

Properties
The density of states at the Fermi level comes out at 2.1 states/eV/f.u. As for the crystal system: monoclinic. For the final energy, the calculation gives -79.352 eV/cell.

Lattice parameters (Å, degrees): 6.416 6.272 7.369 114.29 90.00 120.76
Site moments in Bohr magnetons follow the coordinates.
Fractional coordinates of all 11 atoms:
O (0.249, 0.968, 0.704)  -0.03
Mn (0.097, 0.194, 0.300)  4.26
O (0.272, 0.544, 0.295)  -0.06
O (0.281, 0.032, 0.296)  -0.03
O (0.728, 0.456, 0.705)  -0.06
Mn (0.903, 0.806, 0.700)  4.26
O (0.751, 0.032, 0.296)  -0.03
O (0.719, 0.968, 0.704)  -0.03
Cs (0.707, 0.414, 0.127)  0.01
Cs (0.293, 0.586, 0.873)  0.01
Pa (0.500, 0.000, 0.500)  0.17